# Ho2Mn3Sb3O14

A geometry-optimized Ho2Mn3Sb3O14 structure (PBEsol, Alexandria via LeMat-Bulk).

```
data_Ho2Mn3Sb3O14
_space_group_name_H-M_alt 'C 1 2/m 1'
_space_group_IT_number 12
_space_group_name_Hall '-C 2y'
_cell_length_a 12.326
_cell_length_b 7.224
_cell_length_c 7.138
_cell_angle_alpha 90.00
_cell_angle_beta 124.43
_cell_angle_gamma 90.00
loop_
_atom_site_label
_atom_site_type_symbol
_atom_site_fract_x
_atom_site_fract_y
_atom_site_fract_z
Ho1 Ho 0.000 0.000 0.000
Ho2 Ho 0.000 0.000 0.500
Mn1 Mn 0.000 0.500 0.000
Mn2 Mn 0.250 0.250 0.500
Sb1 Sb 0.000 0.500 0.500
Sb2 Sb 0.250 0.250 0.000
O1 O 0.073 0.500 0.316
O2 O 0.122 0.285 0.074
O3 O 0.123 0.291 0.665
O4 O 0.133 0.000 0.383
O5 O 0.165 0.000 0.905
```

## Properties
The mass density is 6.87 g/cm3. The uncorrected formation energy comes out at -1.94 eV/atom. As for the energy: -7.681 eV/atom. Its density of states at the Fermi level is 6.45 states/eV per cell.